(1)
The following is a PBE-GGA calculation of a relaxed Rb5Sn2Sb4 crystal, from Alexandria via LeMat-Bulk.

Unit cell a=11.450 b=11.450 c=8.617 alpha=106.01 beta=106.01 gamma=30.10
Fractional coordinates of all 11 atoms:
Rb  0.000  0.000  0.000
Rb  0.324  0.324  0.069
Rb  0.334  0.334  0.554
Rb  0.666  0.666  0.446
Rb  0.676  0.676  0.931
Sn  0.059  0.059  0.644
Sn  0.941  0.941  0.356
Sb  0.189  0.189  0.698
Sb  0.489  0.489  0.325
Sb  0.511  0.511  0.675
Sb  0.811  0.811  0.302

The energy relative to the elements, uncorrected comes out at -0.24 eV per atom.

***

(2)
The following is a PBE-GGA calculation of a relaxed RbSnSb2 crystal, from Alexandria via LeMat-Bulk.

Unit cell a=7.384 b=7.384 c=7.384 alpha=107.28 beta=107.28 gamma=113.95
Fractional coordinates of all 8 atoms:
Rb  0.000  0.000  0.000
Rb  0.750  0.250  0.500
Sn  0.250  0.750  0.500
Sn  0.500  0.500  0.000
Sb  0.197  0.625  0.072
Sb  0.375  0.447  0.572
Sb  0.553  0.125  0.928
Sb  0.875  0.803  0.428

The energy relative to the elements, uncorrected comes out at -0.07 eV per atom.

***

(3)
The following is a PBE-GGA calculation of a relaxed Rb2Sn2Sb crystal, from Alexandria via LeMat-Bulk.

Unit cell a=8.022 b=8.022 c=6.038 alpha=90.00 beta=90.00 gamma=90.00
Fractional coordinates of all 10 atoms:
Rb  0.185  0.315  0.000
Rb  0.315  0.815  0.000
Rb  0.685  0.185  0.000
Rb  0.815  0.685  0.000
Sn  0.127  0.627  0.500
Sn  0.373  0.127  0.500
Sn  0.627  0.873  0.500
Sn  0.873  0.373  0.500
Sb  0.000  0.000  0.500
Sb  0.500  0.500  0.500

The energy relative to the elements, uncorrected comes out at -0.15 eV per atom.